# 1
NpTaW: optimized geometry, PBE-GGA.

N(E_F) = 5.437 states/eV/f.u.

POSCAR file:
```
NpTaW
1.0
-0.7676 1.6226 -2.7132
-2.8259 -3.4381 -1.2566
-5.0580 2.4669 4.8566
W Ta Np
2 2 2
Direct
0.5791 0.7488 0.1583 W
0.4209 0.2512 0.8417 W
0.9231 0.7489 0.8462 Ta
0.0769 0.2511 0.1538 Ta
0.2444 0.7991 0.4888 Np
0.7556 0.2009 0.5112 Np
```

=====

# 2
NpTa2W: optimized geometry, PBE-GGA.

ΔE to the lowest computed polymorph = 0.000 eV/atom
N(E_F) = 6.591 states/eV/f.u.

POSCAR file:
```
NpTa2W
1.0
3.2130 0.0000 0.0000
0.0000 3.2130 0.0000
0.0000 0.0000 7.3304
Ta W Np
2 1 1
Direct
0.0000 0.0000 0.7199 Ta
0.0000 0.0000 0.2801 Ta
0.5000 0.5000 0.5000 W
0.5000 0.5000 0.0000 Np
```

=====

# 3
Zr2NpTa: optimized geometry, PBE-GGA.

N(E_F) = 7.837 states/eV/f.u.

POSCAR file:
```
Zr2NpTa
1.0
-2.0924 -1.3159 1.6953
-0.9452 -2.7657 -0.6639
7.0447 -5.6937 6.9247
Np Zr Ta
1 2 1
Direct
0.0000 0.0000 0.0000 Np
0.9097 0.9097 0.2710 Zr
0.0903 0.0903 0.7290 Zr
0.5000 0.5000 0.5000 Ta
```

=====

| no. | spin magnetization (μB/cell) | DFT formation energy (eV/atom) | final energy (eV/atom) |
| --- | --- | --- | --- |
| 1 | 0.00 | 0.212 | -12.37 |
| 2 | 3.80 | 0.290 | -12.11 |
| 3 | 3.36 | 0.425 | -10.05 |